A plane-wave DFT calculation with PBE was carried out for crystalline CsNF6 at its relaxed geometry.

a = 6.634 Å, b = 7.765 Å, c = 5.174 Å
α = 90.00°, β = 99.11°, γ = 90.00°
Space group C2/m (No. 12)
Asymmetric unit:
1 Cs 0.000 0.000 0.000
2 N 0.000 0.500 0.500
3 F 0.061 0.356 0.715
4 F 0.227 0.500 0.437

Summary:
The calculation puts the uncorrected formation energy at -739 meV per atom. Its energy above the most stable polymorph in this dataset is 21.7 meV per atom. The density of states at the Fermi level comes out at 0.0000 states/eV/atom.

=====

A plane-wave DFT calculation with PBE was carried out for crystalline RbNdNbO5 at its relaxed geometry.

a = 7.675 Å, b = 10.554 Å, c = 8.856 Å
α = 90.00°, β = 111.15°, γ = 90.00°
Space group C2/c (No. 15)
Asymmetric unit:
1 Rb 0.000 0.166 0.250
2 Nd 0.000 0.500 0.000
3 Nb 0.000 0.189 0.750
4 O 0.000 0.427 0.250
5 O 0.085 0.293 0.619
6 O 0.193 0.081 0.878

Summary:
The calculation puts the uncorrected formation energy at -2424 meV per atom. The density of states at the Fermi level comes out at 0.0593 states/eV/atom.

=====

A plane-wave DFT calculation with PBE was carried out for crystalline TlZn2BiF8 at its relaxed geometry.

a = 5.4749 Å, b = 5.4749 Å, c = 24.0849 Å
α = 90.00°, β = 90.00°, γ = 120.00°
Space group R-3 (No. 148, hexagonal axes)
Asymmetric unit:
1 Tl 0.0000 0.0000 0.0000
2 Zn 0.0000 0.0000 0.2567
3 Bi 0.0000 0.0000 0.5000
4 F 0.0000 0.0000 0.3342
5 F 0.0009 0.6757 0.7773

Summary:
The calculation puts the uncorrected formation energy at -2196 meV per atom. The density of states at the Fermi level comes out at 0.0000 states/eV/atom.

=====

A plane-wave DFT calculation with PBE was carried out for crystalline TlTcMo2 at its relaxed geometry.

a = 3.080 Å, b = 3.080 Å, c = 7.410 Å
α = 90.00°, β = 90.00°, γ = 90.00°
Space group P4mm (No. 99)
Asymmetric unit:
1 Tl 0.000 0.000 0.000
2 Tc 0.500 0.500 0.714
3 Mo 0.000 0.000 0.515
4 Mo 0.500 0.500 0.293

Summary:
Its energy above the most stable polymorph in this dataset is 44.5 meV per atom. The density of states at the Fermi level comes out at 1.3690 states/eV/atom. As for the energy of formation: 10.6 kcal/mol of atoms.

=====

A plane-wave DFT calculation with PBE was carried out for crystalline LaIn3 at its relaxed geometry.

a = 3.993 Å, b = 5.547 Å, c = 10.368 Å
α = 90.00°, β = 90.00°, γ = 90.00°
Space group Cmmm (No. 65)
Asymmetric unit:
1 La 0.000 0.000 0.000
2 In 0.000 0.000 0.500
3 In 0.000 0.500 0.263

Summary:
The density of states at the Fermi level comes out at 0.9525 states/eV/atom. As for the energy of formation: -2.5 kcal/mol of atoms.

=====

A plane-wave DFT calculation with PBE was carried out for crystalline CsLiErTe3 at its relaxed geometry.

a = 10.306 Å, b = 4.440 Å, c = 11.000 Å
α = 90.00°, β = 115.10°, γ = 90.00°
Space group P2_1/m (No. 11)
Asymmetric unit:
1 Cs 0.218 0.250 0.257
2 Li 0.082 0.250 0.604
3 Er 0.326 0.750 0.854
4 Te 0.132 0.250 0.871
5 Te 0.216 0.750 0.553
6 Te 0.473 0.750 0.162

Summary:
The calculation puts the uncorrected formation energy at -1087 meV per atom. The density of states at the Fermi level comes out at 0.7351 states/eV/atom.

=====

A plane-wave DFT calculation with PBE was carried out for crystalline SiNiPdPt at its relaxed geometry.

a = 6.000 Å, b = 6.000 Å, c = 6.000 Å
α = 90.00°, β = 90.00°, γ = 90.00°
Space group F-43m (No. 216)
Asymmetric unit:
1 Si 0.000 0.000 0.000
2 Ni 0.000 0.000 0.500
3 Pd 0.250 0.250 0.250
4 Pt 0.250 0.250 0.750

Summary:
The calculation puts the uncorrected formation energy at -367 meV per atom. The density of states at the Fermi level comes out at 0.6818 states/eV/atom.

=====

A plane-wave DFT calculation with PBE was carried out for crystalline Li5InSn6 at its relaxed geometry.

a = 4.561 Å, b = 8.647 Å, c = 13.444 Å
α = 90.00°, β = 90.00°, γ = 90.00°
Space group Immm (No. 71)
Asymmetric unit:
1 Li 0.000 0.000 0.000
2 Li 0.000 0.000 0.345
3 Li 0.000 0.500 0.325
4 In 0.000 0.500 0.000
5 Sn 0.000 0.237 0.171
6 Sn 0.000 0.270 0.500

Summary:
The density of states at the Fermi level comes out at 0.3066 states/eV/atom. As for the energy of formation: -6.0 kcal/mol of atoms.

=====

A plane-wave DFT calculation with PBE was carried out for crystalline K2Sr2Ca at its relaxed geometry.

a = 11.285 Å, b = 11.285 Å, c = 4.683 Å
α = 90.00°, β = 90.00°, γ = 90.00°
Space group P4/mbm (No. 127)
Asymmetric unit:
1 K 0.168 0.332 0.000
2 Sr 0.133 0.633 0.500
3 Ca 0.000 0.000 0.500

Summary:
Its energy above the most stable polymorph in this dataset is 18.3 meV per atom. The density of states at the Fermi level comes out at 0.6227 states/eV/atom. As for the energy of formation: 6.3 kcal/mol of atoms.

=====

A plane-wave DFT calculation with PBE was carried out for crystalline La2PmPr2Y4 at its relaxed geometry.

a = 19.086 Å, b = 3.687 Å, c = 9.782 Å
α = 90.00°, β = 115.76°, γ = 90.00°
Space group C2/m (No. 12)
Asymmetric unit:
1 La 0.166 0.000 0.001
2 Pm 0.000 0.500 0.000
3 Pr 0.147 0.500 0.664
4 Y 0.020 0.000 0.333
5 Y 0.185 0.500 0.337

Summary:
The density of states at the Fermi level comes out at 1.5101 states/eV/atom. As for the energy of formation: 0.0 kcal/mol of atoms.

=====

A plane-wave DFT calculation with PBE was carried out for crystalline La2FeAs4Ir3 at its relaxed geometry.

a = 4.366 Å, b = 4.366 Å, c = 9.889 Å
α = 90.00°, β = 90.00°, γ = 90.00°
Space group P-4m2 (No. 115)
Asymmetric unit:
1 La 0.000 0.500 0.247
2 Fe 0.000 0.000 0.500
3 As 0.000 0.000 0.000
4 As 0.000 0.500 0.627
5 As 0.500 0.500 0.000
6 Ir 0.000 0.500 0.880
7 Ir 0.500 0.500 0.500

Summary:
The density of states at the Fermi level comes out at 0.7846 states/eV/atom. As for the energy of formation: -17.5 kcal/mol of atoms.

=====

A plane-wave DFT calculation with PBE was carried out for crystalline Na2VMoRu at its relaxed geometry.

a = 5.306 Å, b = 5.306 Å, c = 4.475 Å
α = 90.00°, β = 90.00°, γ = 90.00°
Space group P4/mmm (No. 123)
Asymmetric unit:
1 Na 0.000 0.500 0.000
2 V 0.000 0.000 0.500
3 Mo 0.500 0.500 0.000
4 Ru 0.500 0.500 0.500

Summary:
The density of states at the Fermi level comes out at 1.6928 states/eV/atom. As for the energy of formation: 47.5 kcal/mol of atoms.